The following is a DFT calculation (PBE) of Na2CaAu2 after structural relaxation.

Values from the calculation:
**Calculated formation energy**: -420 meV per atom
**Energy above the lowest structure with this stoichiometry**: 0.0000 eV/atom

abc: 4.1853 4.1853 7.7225
angles: 74.28 74.28 90.00
With the nearest neighbours (Å) after each atom.
Atoms (fractional coordinates):
Au  0.4035  0.4035  0.1930  1 Au 2.75, 4 Na 3.03
Au  0.5965  0.5965  0.8070  1 Au 2.75, 4 Na 3.03
Na  0.7500  0.2500  0.5000  4 Na 2.96, 4 Au 3.03
Na  0.2500  0.7500  0.5000  4 Na 2.96, 4 Au 3.03
Ca  0.0000  0.0000  0.0000  8 Au 3.26

***

The following is a DFT calculation (PBE) of PrTm5 after structural relaxation.

Values from the calculation:
**Calculated formation energy**: 30 meV per atom
**Energy above the lowest structure with this stoichiometry**: 0.0207 eV/atom

abc: 4.9940 4.9864 7.8777
angles: 108.45 90.00 90.00
With the nearest neighbours (Å) after each atom.
Atoms (fractional coordinates):
Tm  0.5000  0.8323  0.6646  10 Tm 3.50-3.54, 2 Pr 3.54
Tm  0.5000  0.5000  0.0000  4 Pr 3.53, 8 Tm 3.54-3.55
Tm  0.0000  0.3316  0.6632  10 Tm 3.49-3.55, 2 Pr 3.54
Tm  0.0000  0.6684  0.3368  10 Tm 3.49-3.55, 2 Pr 3.54
Tm  0.5000  0.1677  0.3354  10 Tm 3.50-3.54, 2 Pr 3.54
Pr  0.0000  0.0000  0.0000  12 Tm 3.53-3.54

***

Which formula does entry 1 have?
Na2CaAu2

***

What did the first record say?
The following is a DFT calculation (PBE) of Na2CaAu2 after structural relaxation.

Values from the calculation:
**Calculated formation energy**: -420 meV per atom
**Energy above the lowest structure with this stoichiometry**: 0.0000 eV/atom

abc: 4.1853 4.1853 7.7225
angles: 74.28 74.28 90.00
With the nearest neighbours (Å) after each atom.
Atoms (fractional coordinates):
Au  0.4035  0.4035  0.1930  1 Au 2.75, 4 Na 3.03
Au  0.5965  0.5965  0.8070  1 Au 2.75, 4 Na 3.03
Na  0.7500  0.2500  0.5000  4 Na 2.96, 4 Au 3.03
Na  0.2500  0.7500  0.5000  4 Na 2.96, 4 Au 3.03
Ca  0.0000  0.0000  0.0000  8 Au 3.26

***

Copy entry 2 word for word.
The following is a DFT calculation (PBE) of PrTm5 after structural relaxation.

Values from the calculation:
**Calculated formation energy**: 30 meV per atom
**Energy above the lowest structure with this stoichiometry**: 0.0207 eV/atom

abc: 4.9940 4.9864 7.8777
angles: 108.45 90.00 90.00
With the nearest neighbours (Å) after each atom.
Atoms (fractional coordinates):
Tm  0.5000  0.8323  0.6646  10 Tm 3.50-3.54, 2 Pr 3.54
Tm  0.5000  0.5000  0.0000  4 Pr 3.53, 8 Tm 3.54-3.55
Tm  0.0000  0.3316  0.6632  10 Tm 3.49-3.55, 2 Pr 3.54
Tm  0.0000  0.6684  0.3368  10 Tm 3.49-3.55, 2 Pr 3.54
Tm  0.5000  0.1677  0.3354  10 Tm 3.50-3.54, 2 Pr 3.54
Pr  0.0000  0.0000  0.0000  12 Tm 3.53-3.54